(1)
{
  "formula": "TbPrTlGa",
  "functional": "PBE",
  "state": "relaxed",
  "e_above_lowest_polymorph_ev_per_fu": 0.14,
  "vol_a3_per_cell": 108,
  "delta_e_f_ev_per_atom": -0.433,
  "total_magnetization_mub_per_fu": 0.0,
  "dos_ef_per_ev_fu": 2.2,
  "lattice_angstrom": [[0.000, 3.776, 3.776], [3.776, 0.000, 3.776], [3.776, 3.776, 0.000]],
  "species": ["Tb", "Pr", "Tl", "Ga"],
  "fractional_positions": [[0.000, 0.000, 0.000], [0.500, 0.500, 0.500], [0.250, 0.250, 0.250], [0.750, 0.750, 0.750]]
}

---

(2)
{
  "formula": "TbPrTmGa",
  "functional": "PBE",
  "state": "relaxed",
  "vol_a3_per_cell": 110,
  "delta_e_f_ev_per_atom": -0.102,
  "total_magnetization_mub_per_fu": 0.6,
  "dos_ef_per_ev_fu": 6.7,
  "lattice_angstrom": [[0.000, 3.804, 3.804], [3.804, 0.000, 3.804], [3.804, 3.804, 0.000]],
  "species": ["Tb", "Pr", "Tm", "Ga"],
  "fractional_positions": [[0.000, 0.000, 0.000], [0.500, 0.500, 0.500], [0.750, 0.750, 0.750], [0.250, 0.250, 0.250]]
}

---

(3)
{
  "formula": "TbPrZn2Ga2",
  "functional": "PBE",
  "state": "relaxed",
  "vol_a3_per_cell": 129,
  "delta_e_f_ev_per_atom": -0.562,
  "total_magnetization_mub_per_fu": 0.0,
  "dos_ef_per_ev_fu": 3.5,
  "lattice_angstrom": [[4.467, 0.000, 0.000], [-2.234, 3.869, 0.000], [0.000, 0.000, 7.470]],
  "species": ["Tb", "Pr", "Zn", "Zn", "Ga", "Ga"],
  "fractional_positions": [[0.000, 0.000, 0.000], [0.000, 0.000, 0.500], [0.333, 0.667, 0.776], [0.667, 0.333, 0.224], [0.333, 0.667, 0.233], [0.667, 0.333, 0.767]]
}

---

(4)
{
  "formula": "PrGa2Tc2",
  "functional": "PBE",
  "state": "relaxed",
  "vol_a3_per_cell": 197,
  "delta_e_f_ev_per_atom": -0.402,
  "total_magnetization_mub_per_fu": 0.0,
  "dos_ef_per_ev_fu": 3.4,
  "lattice_angstrom": [[-2.107, 2.135, 10.975], [2.107, -2.135, 10.975], [2.107, 2.135, -10.975]],
  "species": ["Pr", "Pr", "Ga", "Ga", "Ga", "Ga", "Tc", "Tc", "Tc", "Tc"],
  "fractional_positions": [[0.346, 0.096, 0.250], [0.654, 0.904, 0.750], [0.106, 0.356, 0.750], [0.223, 0.473, 0.750], [0.777, 0.527, 0.250], [0.894, 0.644, 0.250], [0.032, 0.782, 0.250], [0.468, 0.718, 0.750], [0.532, 0.282, 0.250], [0.968, 0.218, 0.750]]
}

---

(5)
{
  "formula": "PrGa2Tc4",
  "functional": "PBE",
  "state": "relaxed",
  "vol_a3_per_cell": 128,
  "delta_e_f_ev_per_atom": -0.269,
  "total_magnetization_mub_per_fu": 0.0,
  "dos_ef_per_ev_fu": 4.6,
  "lattice_angstrom": [[2.113, -7.156, 0.000], [2.113, 7.156, 0.000], [0.000, 0.000, 4.228]],
  "species": ["Pr", "Ga", "Ga", "Tc", "Tc", "Tc", "Tc"],
  "fractional_positions": [[0.000, 0.000, 0.000], [0.411, 0.589, 0.500], [0.589, 0.411, 0.500], [0.201, 0.799, 0.500], [0.299, 0.701, 0.000], [0.701, 0.299, 0.000], [0.799, 0.201, 0.500]]
}

---

(6)
{
  "formula": "PrGa4Tc",
  "functional": "PBE",
  "state": "relaxed",
  "e_above_lowest_polymorph_ev_per_fu": 0.02,
  "vol_a3_per_cell": 238,
  "delta_e_f_ev_per_atom": -0.271,
  "total_magnetization_mub_per_fu": 0.0,
  "dos_ef_per_ev_fu": 2.4,
  "lattice_angstrom": [[2.449, -7.307, 0.000], [2.449, 7.307, 0.000], [0.000, 0.000, 6.651]],
  "species": ["Pr", "Pr", "Ga", "Ga", "Ga", "Ga", "Ga", "Ga", "Ga", "Ga", "Tc", "Tc"],
  "fractional_positions": [[0.108, 0.892, 0.750], [0.892, 0.108, 0.250], [0.101, 0.899, 0.250], [0.271, 0.729, 0.062], [0.271, 0.729, 0.438], [0.500, 0.500, 0.000], [0.500, 0.500, 0.500], [0.729, 0.271, 0.562], [0.729, 0.271, 0.938], [0.899, 0.101, 0.750], [0.376, 0.624, 0.750], [0.624, 0.376, 0.250]]
}

---

(7)
{
  "formula": "PrGa4Tc",
  "functional": "PBE",
  "state": "relaxed",
  "e_above_lowest_polymorph_ev_per_fu": 0.00,
  "vol_a3_per_cell": 247,
  "delta_e_f_ev_per_atom": -0.273,
  "total_magnetization_mub_per_fu": 0.0,
  "dos_ef_per_ev_fu": 3.3,
  "lattice_angstrom": [[-2.538, 3.309, 7.341], [2.538, -3.309, 7.341], [2.538, 3.309, -7.341]],
  "species": ["Pr", "Pr", "Ga", "Ga", "Ga", "Ga", "Ga", "Ga", "Ga", "Ga", "Tc", "Tc"],
  "fractional_positions": [[0.213, 0.213, 0.000], [0.787, 0.787, 0.000], [0.117, 0.393, 0.724], [0.176, 0.000, 0.176], [0.331, 0.607, 0.724], [0.343, 0.843, 0.500], [0.657, 0.157, 0.500], [0.669, 0.393, 0.276], [0.824, 0.000, 0.824], [0.883, 0.607, 0.276], [0.500, 0.260, 0.760], [0.500, 0.740, 0.240]]
}

---

(8)
{
  "formula": "PrGa9Tc2",
  "functional": "PBE",
  "state": "relaxed",
  "vol_a3_per_cell": 216,
  "delta_e_f_ev_per_atom": -0.299,
  "total_magnetization_mub_per_fu": 0.0,
  "dos_ef_per_ev_fu": 4.3,
  "lattice_angstrom": [[8.592, 0.000, 0.000], [-4.296, 7.441, 0.000], [0.000, 0.000, 3.372]],
  "species": ["Pr", "Ga", "Ga", "Ga", "Ga", "Ga", "Ga", "Ga", "Ga", "Ga", "Tc", "Tc"],
  "fractional_positions": [[0.000, 0.000, 0.000], [0.000, 0.500, 0.000], [0.192, 0.384, 0.500], [0.192, 0.808, 0.500], [0.384, 0.192, 0.500], [0.500, 0.000, 0.000], [0.500, 0.500, 0.000], [0.616, 0.808, 0.500], [0.808, 0.192, 0.500], [0.808, 0.616, 0.500], [0.333, 0.667, 0.000], [0.667, 0.333, 0.000]]
}

---

(9)
{
  "formula": "Pr4Ga12Tc",
  "functional": "PBE",
  "state": "relaxed",
  "vol_a3_per_cell": 346,
  "delta_e_f_ev_per_atom": -0.541,
  "total_magnetization_mub_per_fu": 0.0,
  "dos_ef_per_ev_fu": 11.6,
  "lattice_angstrom": [[-4.424, 4.424, 4.424], [4.424, -4.424, 4.424], [4.424, 4.424, -4.424]],
  "species": ["Pr", "Pr", "Pr", "Pr", "Ga", "Ga", "Ga", "Ga", "Ga", "Ga", "Ga", "Ga", "Ga", "Ga", "Ga", "Ga", "Tc"],
  "fractional_positions": [[0.000, 0.000, 0.500], [0.000, 0.500, 0.000], [0.500, 0.000, 0.000], [0.500, 0.500, 0.500], [0.000, 0.289, 0.289], [0.000, 0.711, 0.711], [0.250, 0.500, 0.750], [0.250, 0.750, 0.500], [0.289, 0.000, 0.289], [0.289, 0.289, 0.000], [0.500, 0.250, 0.750], [0.500, 0.750, 0.250], [0.711, 0.000, 0.711], [0.711, 0.711, 0.000], [0.750, 0.250, 0.500], [0.750, 0.500, 0.250], [0.000, 0.000, 0.000]]
}

---

(10)
{
  "formula": "Pr2Ga5Tc",
  "functional": "PBE",
  "state": "relaxed",
  "vol_a3_per_cell": 175,
  "delta_e_f_ev_per_atom": -0.399,
  "total_magnetization_mub_per_fu": 0.0,
  "dos_ef_per_ev_fu": 4.0,
  "lattice_angstrom": [[-3.108, 3.108, 4.540], [3.108, -3.108, 4.540], [3.108, 3.108, -4.540]],
  "species": ["Pr", "Pr", "Ga", "Ga", "Ga", "Ga", "Ga", "Tc"],
  "fractional_positions": [[0.000, 0.500, 0.500], [0.500, 0.000, 0.500], [0.025, 0.025, 0.000], [0.031, 0.031, 0.571], [0.031, 0.460, 0.000], [0.460, 0.031, 0.000], [0.460, 0.460, 0.429], [0.753, 0.753, 0.000]]
}

---

(11)
{
  "formula": "PrThGaTc",
  "functional": "PBE",
  "state": "relaxed",
  "e_above_lowest_polymorph_ev_per_fu": 0.81,
  "vol_a3_per_cell": 96,
  "delta_e_f_ev_per_atom": -0.119,
  "total_magnetization_mub_per_fu": 0.0,
  "dos_ef_per_ev_fu": 2.6,
  "lattice_angstrom": [[0.000, 3.639, 3.639], [3.639, 0.000, 3.639], [3.639, 3.639, 0.000]],
  "species": ["Pr", "Th", "Ga", "Tc"],
  "fractional_positions": [[0.000, 0.000, 0.000], [0.500, 0.500, 0.500], [0.250, 0.250, 0.250], [0.750, 0.750, 0.750]]
}

---

(12)
{
  "formula": "PrThGaTc",
  "functional": "PBE",
  "state": "relaxed",
  "e_above_lowest_polymorph_ev_per_fu": 0.00,
  "vol_a3_per_cell": 100,
  "delta_e_f_ev_per_atom": -0.322,
  "total_magnetization_mub_per_fu": 0.0,
  "dos_ef_per_ev_fu": 4.7,
  "lattice_angstrom": [[3.927, 0.000, 0.000], [0.000, 2.082, 6.106], [0.000, -2.082, 6.106]],
  "species": ["Pr", "Th", "Ga", "Tc"],
  "fractional_positions": [[0.000, 0.000, 0.000], [0.500, 0.722, 0.722], [0.500, 0.410, 0.410], [0.000, 0.264, 0.264]]
}

---

(13)
{
  "formula": "Pr2GaTe",
  "functional": "PBE",
  "state": "relaxed",
  "e_above_lowest_polymorph_ev_per_fu": 0.83,
  "vol_a3_per_cell": 127,
  "total_magnetization_mub_per_fu": 0.0,
  "dos_ef_per_ev_fu": 3.4,
  "lattice_angstrom": [[2.095, 1.210, 8.335], [-2.095, 1.210, 8.335], [0.000, -2.419, 8.335]],
  "species": ["Pr", "Pr", "Ga", "Te"],
  "fractional_positions": [[0.000, 0.000, 0.000], [0.166, 0.166, 0.166], [0.415, 0.415, 0.415], [0.584, 0.584, 0.584]]
}

---

(14)
{
  "formula": "PrGaTe2",
  "functional": "PBE",
  "state": "relaxed",
  "vol_a3_per_cell": 176,
  "total_energy_ev_per_atom": -4.2251,
  "total_magnetization_mub_per_fu": 0.0,
  "dos_ef_per_ev_fu": 0.3,
  "lattice_angstrom": [[2.316, 1.337, 9.469], [-2.316, 1.337, 9.469], [0.000, -2.674, 9.469]],
  "species": ["Pr", "Ga", "Te", "Te"],
  "fractional_positions": [[0.000, 0.000, 0.000], [0.500, 0.500, 0.500], [0.396, 0.396, 0.396], [0.604, 0.604, 0.604]]
}

---

(15)
{
  "formula": "Pr4GaTe3",
  "functional": "PBE",
  "state": "relaxed",
  "vol_a3_per_cell": 517,
  "total_energy_ev_per_atom": -5.2158,
  "total_magnetization_mub_per_fu": 0.0,
  "dos_ef_per_ev_fu": 1.7,
  "lattice_angstrom": [[7.825, 0.000, 0.000], [0.000, 9.042, 0.000], [-2.595, 0.000, 7.313]],
  "species": ["Pr", "Pr", "Pr", "Pr", "Pr", "Pr", "Pr", "Pr", "Ga", "Ga", "Te", "Te", "Te", "Te", "Te", "Te"],
  "fractional_positions": [[0.234, 0.117, 0.001], [0.234, 0.883, 0.501], [0.238, 0.359, 0.486], [0.238, 0.641, 0.986], [0.762, 0.359, 0.014], [0.762, 0.641, 0.514], [0.766, 0.117, 0.499], [0.766, 0.883, 0.999], [0.000, 0.124, 0.250], [0.000, 0.876, 0.750], [0.000, 0.377, 0.750], [0.000, 0.623, 0.250], [0.500, 0.125, 0.750], [0.500, 0.379, 0.250], [0.500, 0.621, 0.750], [0.500, 0.875, 0.250]]
}

---

(16)
{
  "formula": "Pr3GaTe2",
  "functional": "PBE",
  "state": "relaxed",
  "e_above_lowest_polymorph_ev_per_fu": 0.83,
  "vol_a3_per_cell": 217,
  "total_magnetization_mub_per_fu": 0.0,
  "dos_ef_per_ev_fu": 2.5,
  "lattice_angstrom": [[3.146, -7.396, 0.000], [3.146, 7.396, 0.000], [0.000, 0.000, 4.672]],
  "species": ["Pr", "Pr", "Pr", "Ga", "Te", "Te"],
  "fractional_positions": [[0.000, 0.000, 0.000], [0.369, 0.631, 0.500], [0.631, 0.369, 0.500], [0.500, 0.500, 0.000], [0.151, 0.849, 0.500], [0.849, 0.151, 0.500]]
}

---

(17)
{
  "formula": "Pr4Ga2Te",
  "functional": "PBE",
  "state": "relaxed",
  "vol_a3_per_cell": 415,
  "total_energy_ev_per_atom": -4.7871,
  "total_magnetization_mub_per_fu": 0.0,
  "dos_ef_per_ev_fu": 5.5,
  "lattice_angstrom": [[-4.714, 4.714, 4.669], [4.714, -4.714, 4.669], [4.714, 4.714, -4.669]],
  "species": ["Pr", "Pr", "Pr", "Pr", "Pr", "Pr", "Pr", "Pr", "Ga", "Ga", "Ga", "Ga", "Te", "Te"],
  "fractional_positions": [[0.114, 0.510, 0.749], [0.115, 0.011, 0.751], [0.260, 0.364, 0.249], [0.490, 0.239, 0.605], [0.635, 0.886, 0.395], [0.636, 0.885, 0.895], [0.761, 0.365, 0.251], [0.989, 0.740, 0.105], [0.006, 0.125, 0.381], [0.375, 0.994, 0.119], [0.744, 0.625, 0.619], [0.875, 0.256, 0.881], [0.250, 0.750, 0.500], [0.500, 0.500, 0.000]]
}

---

(18)
{
  "formula": "Pr4GaTe",
  "functional": "PBE",
  "state": "relaxed",
  "e_above_lowest_polymorph_ev_per_fu": 0.12,
  "vol_a3_per_cell": 759,
  "total_magnetization_mub_per_fu": 0.0,
  "dos_ef_per_ev_fu": 6.5,
  "lattice_angstrom": [[7.764, 0.000, 0.000], [0.000, 4.698, 0.000], [0.000, 0.000, 20.821]],
  "species": ["Pr", "Pr", "Pr", "Pr", "Pr", "Pr", "Pr", "Pr", "Pr", "Pr", "Pr", "Pr", "Pr", "Pr", "Pr", "Pr", "Ga", "Ga", "Ga", "Ga", "Te", "Te", "Te", "Te"],
  "fractional_positions": [[0.032, 0.250, 0.071], [0.073, 0.250, 0.788], [0.088, 0.250, 0.363], [0.147, 0.250, 0.539], [0.353, 0.750, 0.039], [0.412, 0.750, 0.863], [0.427, 0.750, 0.288], [0.468, 0.750, 0.571], [0.532, 0.250, 0.429], [0.573, 0.250, 0.712], [0.588, 0.250, 0.137], [0.647, 0.250, 0.961], [0.853, 0.750, 0.461], [0.912, 0.750, 0.637], [0.927, 0.750, 0.212], [0.968, 0.750, 0.929], [0.233, 0.250, 0.935], [0.267, 0.750, 0.435], [0.733, 0.250, 0.565], [0.767, 0.750, 0.065], [0.219, 0.250, 0.212], [0.281, 0.750, 0.712], [0.719, 0.250, 0.288], [0.781, 0.750, 0.788]]
}

---

(19)
{
  "formula": "Pr2GaTe",
  "functional": "PBE",
  "state": "relaxed",
  "e_above_lowest_polymorph_ev_per_fu": 0.21,
  "vol_a3_per_cell": 125,
  "total_magnetization_mub_per_fu": 0.0,
  "dos_ef_per_ev_fu": 2.2,
  "lattice_angstrom": [[2.146, 1.239, 7.814], [-2.146, 1.239, 7.814], [0.000, -2.478, 7.814]],
  "species": ["Pr", "Pr", "Ga", "Te"],
  "fractional_positions": [[0.247, 0.247, 0.247], [0.753, 0.753, 0.753], [0.500, 0.500, 0.500], [0.000, 0.000, 0.000]]
}

---

(20)
{
  "formula": "Pr2GaTe",
  "functional": "PBE",
  "state": "relaxed",
  "e_above_lowest_polymorph_ev_per_fu": 0.00,
  "vol_a3_per_cell": 241,
  "total_magnetization_mub_per_fu": 0.0,
  "dos_ef_per_ev_fu": 3.3,
  "lattice_angstrom": [[2.290, -12.126, 0.000], [2.290, 12.126, 0.000], [0.000, 0.000, 4.345]],
  "species": ["Pr", "Pr", "Pr", "Pr", "Ga", "Ga", "Te", "Te"],
  "fractional_positions": [[0.062, 0.938, 0.750], [0.329, 0.671, 0.750], [0.671, 0.329, 0.250], [0.938, 0.062, 0.250], [0.463, 0.537, 0.750], [0.537, 0.463, 0.250], [0.193, 0.807, 0.750], [0.807, 0.193, 0.250]]
}

---

(21)
{
  "formula": "Pr4GaTe",
  "functional": "PBE",
  "state": "relaxed",
  "e_above_lowest_polymorph_ev_per_fu": 0.00,
  "vol_a3_per_cell": 369,
  "total_magnetization_mub_per_fu": 0.0,
  "dos_ef_per_ev_fu": 5.0,
  "lattice_angstrom": [[6.301, 0.000, 0.000], [0.000, 6.618, 0.000], [-0.271, 0.000, 8.849]],
  "species": ["Pr", "Pr", "Pr", "Pr", "Pr", "Pr", "Pr", "Pr", "Ga", "Ga", "Te", "Te"],
  "fractional_positions": [[0.113, 0.250, 0.353], [0.162, 0.750, 0.058], [0.359, 0.006, 0.691], [0.359, 0.494, 0.691], [0.641, 0.506, 0.309], [0.641, 0.994, 0.309], [0.838, 0.250, 0.942], [0.887, 0.750, 0.647], [0.212, 0.750, 0.397], [0.788, 0.250, 0.603], [0.332, 0.250, 0.029], [0.668, 0.750, 0.971]]
}

---

(22)
{
  "formula": "Pr3GaTe",
  "functional": "PBE",
  "state": "relaxed",
  "vol_a3_per_cell": 365,
  "total_energy_ev_per_atom": -4.5749,
  "total_magnetization_mub_per_fu": 0.0,
  "dos_ef_per_ev_fu": 4.7,
  "lattice_angstrom": [[3.678, 2.123, 7.783], [-3.678, 2.123, 7.783], [0.000, -4.247, 7.783]],
  "species": ["Pr", "Pr", "Pr", "Pr", "Pr", "Pr", "Ga", "Ga", "Te", "Te"],
  "fractional_positions": [[0.091, 0.460, 0.702], [0.298, 0.540, 0.909], [0.460, 0.702, 0.091], [0.540, 0.909, 0.298], [0.702, 0.091, 0.460], [0.909, 0.298, 0.540], [0.331, 0.331, 0.331], [0.669, 0.669, 0.669], [0.150, 0.150, 0.150], [0.850, 0.850, 0.850]]
}

---

(23)
{
  "formula": "Pr3GaTe6",
  "functional": "PBE",
  "state": "relaxed",
  "vol_a3_per_cell": 712,
  "total_energy_ev_per_atom": -4.7822,
  "total_magnetization_mub_per_fu": 0.0,
  "lattice_angstrom": [[6.227, -7.681, 0.000], [6.227, 7.681, 0.000], [0.000, 0.000, 7.443]],
  "species": ["Pr", "Pr", "Pr", "Pr", "Pr", "Pr", "Ga", "Ga", "Te", "Te", "Te", "Te", "Te", "Te", "Te", "Te", "Te", "Te", "Te", "Te"],
  "fractional_positions": [[0.096, 0.904, 0.500], [0.223, 0.415, 0.615], [0.415, 0.223, 0.115], [0.585, 0.777, 0.615], [0.777, 0.585, 0.115], [0.904, 0.096, 0.000], [0.296, 0.704, 0.149], [0.704, 0.296, 0.649], [0.066, 0.596, 0.327], [0.125, 0.201, 0.306], [0.201, 0.125, 0.806], [0.278, 0.722, 0.793], [0.404, 0.934, 0.327], [0.459, 0.541, 0.293], [0.541, 0.459, 0.793], [0.596, 0.066, 0.827], [0.722, 0.278, 0.293], [0.799, 0.875, 0.306], [0.875, 0.799, 0.806], [0.934, 0.404, 0.827]]
}